Entry P
Here is a relaxed Tl5Te2I2 crystal from Alexandria. Energies are from PBE.

Unit cell a=8.8290 b=8.8306 c=10.0441 alpha=90.00 beta=63.93 gamma=90.00
Fractional positions:
Te 0.6673 0.1673 0.0000
Te 0.3327 0.8327 0.0000
Te 0.1673 0.3327 0.0000
Te 0.8327 0.6673 0.0000
Tl 0.0174 0.6408 0.2486
Tl 0.2340 0.1408 0.2486
Tl 0.0000 0.0000 0.0000
Tl 0.7660 0.8592 0.7514
Tl 0.5000 0.5000 0.0000
Tl 0.2660 0.6408 0.7514
Tl 0.7340 0.3592 0.2486
Tl 0.9826 0.3592 0.7514
Tl 0.4826 0.1408 0.7514
Tl 0.5174 0.8592 0.2486
I 0.3109 0.5000 0.3781
I 0.6891 0.5000 0.6219
I 0.8109 0.0000 0.3781
I 0.1891 0.0000 0.6219

Results
- N(E_F): 0.387 states/eV per atom

=====

Entry Q
Here is a relaxed Tl5Te2I2 crystal from Alexandria. Energies are from PBE.

Unit cell a=8.8517 b=9.5757 c=11.4490 alpha=114.72 beta=112.74 gamma=90.00
Fractional positions:
I 0.4429 0.9208 0.7848
I 0.5571 0.1360 0.2152
I 0.1581 0.6360 0.2152
I 0.8419 0.4208 0.7848
Te 0.5000 0.4876 0.0000
Te 0.1369 0.3758 0.5000
Te 0.0000 0.9876 0.0000
Te 0.8631 0.8758 0.5000
Tl 0.2126 0.6534 0.8603
Tl 0.7874 0.7930 0.1397
Tl 0.2608 0.0416 0.3025
Tl 0.1477 0.1534 0.8603
Tl 0.1327 0.6887 0.5000
Tl 0.8673 0.1887 0.5000
Tl 0.5417 0.5416 0.3025
Tl 0.8523 0.2930 0.1397
Tl 0.7392 0.7391 0.6975
Tl 0.4583 0.2391 0.6975

Results
- N(E_F): 0.355 states/eV per atom

=====

It is entry P that is the most stable of them.

=====

Entry P
Here is a relaxed TlTeI3 crystal from Alexandria. Energies are from PBE.

Unit cell a=6.1598 b=6.1598 c=6.1598 alpha=90.00 beta=90.00 gamma=90.00
Fractional positions:
I 0.0000 0.0000 0.5000
I 0.5000 0.0000 0.0000
I 0.0000 0.5000 0.0000
Tl 0.5000 0.5000 0.5000
Te 0.0000 0.0000 0.0000

Results
- N(E_F): 0.224 states/eV per atom

=====

Entry Q
Here is a relaxed TlTeI3 crystal from Alexandria. Energies are from PBE.

Unit cell a=7.4059 b=8.6082 c=14.6860 alpha=30.18 beta=78.76 gamma=77.44
Fractional positions:
Tl 0.3315 0.2371 0.0401
Tl 0.8272 0.2678 0.4110
I 0.2824 0.5866 0.2431
I 0.9273 0.8024 0.8282
I 0.2094 0.8829 0.4444
I 0.4526 0.0340 0.7535
I 0.6729 0.5331 0.7100
I 0.7509 0.9043 0.2485
Te 0.0910 0.3162 0.6603
Te 0.9708 0.0653 0.9785

=====

It is entry Q that is the most stable of them.

=====

Entry P
Here is a relaxed TlTeWI2 crystal from Alexandria. Energies are from PBE.

Unit cell a=6.7132 b=5.1276 c=6.7132 alpha=90.00 beta=90.00 gamma=90.00
Fractional positions:
W 0.0000 0.5000 0.0000
I 0.0000 0.0000 0.5000
I 0.5000 0.0000 0.0000
Te 0.0000 0.0000 0.0000
Tl 0.5000 0.5000 0.5000

Results
- N(E_F): 0.477 states/eV per atom

=====

Entry Q
Here is a relaxed TlTeWI2 crystal from Alexandria. Energies are from PBE.

Unit cell a=5.8511 b=5.8511 c=5.2607 alpha=90.00 beta=90.00 gamma=90.00
Fractional positions:
W 0.0000 0.0000 0.0000
Te 0.0000 0.0000 0.5000
I 0.0000 0.5000 0.0000
I 0.5000 0.0000 0.0000
Tl 0.5000 0.5000 0.5000

Results
- N(E_F): 0.405 states/eV per atom

=====

It is entry Q that is the most stable of them.

=====

Entry P
Here is a relaxed YTlTeI2 crystal from Alexandria. Energies are from PBE.

Unit cell a=5.9424 b=5.9424 c=5.8504 alpha=90.00 beta=90.00 gamma=90.00
Fractional positions:
I 0.0000 0.5000 0.0000
I 0.5000 0.0000 0.0000
Te 0.0000 0.0000 0.5000
Tl 0.0000 0.0000 0.0000
Y 0.5000 0.5000 0.5000

Results
- N(E_F): 0.775 states/eV per atom

=====

Entry Q
Here is a relaxed YTlTeI2 crystal from Alexandria. Energies are from PBE.

Unit cell a=6.0607 b=6.0607 c=5.9201 alpha=90.00 beta=90.00 gamma=90.00
Fractional positions:
I 0.0000 0.5000 0.0000
I 0.5000 0.0000 0.0000
Y 0.0000 0.0000 0.0000
Te 0.0000 0.0000 0.5000
Tl 0.5000 0.5000 0.5000

=====

It is entry Q that is the most stable of them.

=====

Entry P
Here is a relaxed TlZnTeI2 crystal from Alexandria. Energies are from PBE.

Unit cell a=6.0965 b=6.0965 c=5.9369 alpha=90.00 beta=90.00 gamma=90.00
Fractional positions:
Zn 0.5000 0.5000 0.5000
I 0.5000 0.0000 0.0000
I 0.0000 0.5000 0.0000
Te 0.0000 0.0000 0.5000
Tl 0.0000 0.0000 0.0000

Results
- N(E_F): 1.160 states/eV per atom

=====

Entry Q
Here is a relaxed TlZnTeI2 crystal from Alexandria. Energies are from PBE.

Unit cell a=5.7524 b=5.7524 c=5.3658 alpha=90.00 beta=90.00 gamma=90.00
Fractional positions:
I 0.5000 0.0000 0.0000
I 0.0000 0.5000 0.0000
Tl 0.5000 0.5000 0.5000
Zn 0.0000 0.0000 0.0000
Te 0.0000 0.0000 0.5000

Results
- N(E_F): 0.552 states/eV per atom

=====

It is entry Q that is the most stable of them.

=====

Entry P
Here is a relaxed ZrTlTe2I crystal from Alexandria. Energies are from PBE.

Unit cell a=5.6536 b=5.6536 c=5.8816 alpha=90.00 beta=90.00 gamma=90.00
Fractional positions:
Te 0.0000 0.5000 0.0000
Te 0.5000 0.0000 0.0000
I 0.0000 0.0000 0.5000
Tl 0.5000 0.5000 0.5000
Zr 0.0000 0.0000 0.0000

Results
- N(E_F): 0.376 states/eV per atom

=====

Entry Q
Here is a relaxed ZrTlTe2I crystal from Alexandria. Energies are from PBE.

Unit cell a=5.6929 b=5.7629 c=5.6929 alpha=90.00 beta=90.00 gamma=90.00
Fractional positions:
Te 0.0000 0.0000 0.5000
Te 0.5000 0.0000 0.0000
Tl 0.0000 0.0000 0.0000
Zr 0.0000 0.5000 0.0000
I 0.5000 0.5000 0.5000

Results
- N(E_F): 1.575 states/eV per atom

=====

It is entry P that is the most stable of them.